The following is a DFT calculation (PBE) of a geometry-optimized SrMnBr2 structure.

Unit cell a=5.4683 b=4.4233 c=6.2822 alpha=90.00 beta=100.07 gamma=90.00
Last column: nearest neighbours and their distance in Å.
Space group P2/m (No. 10)
Inequivalent atoms, fractional coordinates:
Sr1 0.0000 0.0000 0.0000 [1 per cell]  4 Br 3.04
Mn1 0.5000 0.0000 0.5000 [1 per cell]  4 Br 3.28
Br1 0.2272 0.5000 0.7657 [2 per cell]  2 Sr 3.04, 2 Mn 3.28

energy relative to the lowest polymorph listed for this composition	54	kJ/mol of formula units
formation energy from raw total energies	-227	kJ/mol of formula units


The following is a DFT calculation (PBE) of a geometry-optimized SrMnBr2 structure.

Unit cell a=9.5604 b=4.3113 c=6.5273 alpha=90.00 beta=102.23 gamma=90.00
Last column: nearest neighbours and their distance in Å.
Space group C2/m (No. 12)
Inequivalent atoms, fractional coordinates:
Sr1 0.0000 0.0000 0.0000 [2 per cell]  6 Br 3.11-3.35
Mn1 0.0000 0.5000 0.5000 [2 per cell]  2 Br 3.02
Br1 0.2139 0.5000 0.2197 [4 per cell]  1 Mn 3.02, 3 Sr 3.11-3.35

energy relative to the lowest polymorph listed for this composition	28	kJ/mol of formula units
formation energy from raw total energies	-253	kJ/mol of formula units
Fermi-level density of states	0.263	states/eV per atom